First-principles (GGA-PBE) data for a relaxed structure of ThScCo10, as listed in Alexandria.

Lattice parameters (Å, degrees): 3.9911 4.8415 8.4601 90.00 90.00 90.00
Fractional coordinates of all 12 atoms:
Th1 0.0000 0.0000 0.0000
Sc1 0.0000 0.5000 0.5000
Co1 0.0000 0.0000 0.3427
Co2 0.0000 0.0000 0.6573
Co3 0.0000 0.5000 0.1817
Co4 0.0000 0.5000 0.8183
Co5 0.5000 0.0000 0.5000
Co6 0.5000 0.2565 0.2590
Co7 0.5000 0.2565 0.7410
Co8 0.5000 0.5000 0.0000
Co9 0.5000 0.7435 0.2590
Co10 0.5000 0.7435 0.7410

Properties
* energy: -86.29 eV/cell

=====

First-principles (GGA-PBE) data for a relaxed structure of ThSc3Co2, as listed in Alexandria.

Lattice parameters (Å, degrees): 8.0897 8.0897 9.2077 111.83 111.83 26.02
Fractional coordinates of all 12 atoms:
Th1 0.1262 0.1262 0.1681
Th2 0.8738 0.8738 0.8319
Sc1 0.0288 0.0288 0.6760
Sc2 0.3281 0.3281 0.1049
Sc3 0.3411 0.3411 0.4866
Sc4 0.6589 0.6589 0.5134
Sc5 0.6719 0.6719 0.8951
Sc6 0.9712 0.9712 0.3240
Co1 0.2234 0.2234 0.7406
Co2 0.4978 0.4978 0.1363
Co3 0.5022 0.5022 0.8637
Co4 0.7766 0.7766 0.2594

Properties
* energy: -84.04 eV/cell

=====

Quick rundown of Fermi-level density of states, same order as above: 17.84 11.83 states/eV per cell